Record 1
DFT (PBE-GGA) results for a geometry-optimized Y6InS4 structure.

Calculated total energy (eV per atom): -6.861
Total moment (μB per formula unit): 0.00
Calculated volume (Å³ per cell): 1044.89

Unit cell a=3.9396 b=13.1621 c=20.1507 alpha=90.00 beta=90.00 gamma=90.00
Space group Cmcm (No. 63)
Asymmetric unit:
Y: 0.0000 0.0000 0.0000 x4
Y: 0.0000 0.1520 0.2500 x4
Y: 0.0000 0.2717 0.5844 x8
Y: 0.0000 0.4602 0.1575 x8
In: 0.0000 0.1646 0.7500 x4
S: 0.0000 0.0935 0.1213 x8
S: 0.0000 0.3621 0.0392 x8

---

Record 2
DFT (PBE-GGA) results for a geometry-optimized Y3InS structure.

Total moment (μB per formula unit): 0.62
Relative energy among the computed polymorphs (eV/atom): 0.0000
Calculated volume (Å³ per cell): 527.11

Unit cell a=9.0289 b=3.9309 c=14.8516 alpha=90.00 beta=90.00 gamma=90.00
Space group Pnma (No. 62)
Asymmetric unit:
Y: 0.0304 0.2500 0.1118 x4
Y: 0.1655 0.2500 0.5095 x4
Y: 0.2087 0.7500 0.2844 x4
In: 0.0694 0.7500 0.6718 x4
S: 0.1577 0.2500 0.9454 x4

---

Record 3
DFT (PBE-GGA) results for a geometry-optimized YIn2S4 structure.

Total moment (μB per formula unit): 0.00
Relative energy among the computed polymorphs (eV/atom): 0.0516
Calculated volume (Å³ per cell): 638.47

Unit cell a=8.6619 b=8.6686 c=8.5032 alpha=90.00 beta=90.00 gamma=90.00
Space group Imma (No. 74)
Asymmetric unit:
Y: 0.0000 0.2500 0.1254 x4
In: 0.0000 0.0000 0.5000 x4
In: 0.2500 0.2500 0.7500 x4
S: 0.0000 0.0607 0.8120 x8
S: 0.1894 0.2500 0.4382 x8

---

Record 4
DFT (PBE-GGA) results for a geometry-optimized YIn3S structure.

Total moment (μB per formula unit): 0.00
Relative energy among the computed polymorphs (eV/atom): 0.6615
Calculated volume (Å³ per cell): 205.44

Unit cell a=5.9006 b=5.9006 c=5.9006 alpha=90.00 beta=90.00 gamma=90.00
Space group Pm-3m (No. 221)
Asymmetric unit:
Y: 0.0000 0.0000 0.0000 x1
In: 0.0000 0.0000 0.5000 x3
S: 0.5000 0.5000 0.5000 x1

---

Record 5
DFT (PBE-GGA) results for a geometry-optimized YInS3 structure.

Calculated total energy (eV per atom): -5.601
Total moment (μB per formula unit): 0.00
Calculated volume (Å³ per cell): 284.66

Unit cell a=6.8086 b=4.0887 c=10.4905 alpha=90.00 beta=102.90 gamma=90.00
Space group P2_1/m (No. 11)
Asymmetric unit:
Y: 0.0159 0.2500 0.3335 x2
In: 0.4746 0.2500 0.8134 x2
S: 0.1917 0.7500 0.2323 x2
S: 0.2080 0.2500 0.5895 x2
S: 0.3171 0.7500 0.8878 x2

---

Record 6
DFT (PBE-GGA) results for a geometry-optimized YIn2S4 structure.

Total moment (μB per formula unit): 0.00
Relative energy among the computed polymorphs (eV/atom): 0.0000
Calculated volume (Å³ per cell): 630.90

Unit cell a=3.8248 b=12.8360 c=12.8505 alpha=90.00 beta=90.00 gamma=90.00
Space group Cmcm (No. 63)
Asymmetric unit:
Y: 0.0000 0.1163 0.2500 x4
In: 0.0000 0.3694 0.0671 x8
S: 0.0000 0.0000 0.0000 x4
S: 0.0000 0.2810 0.6215 x8
S: 0.0000 0.4628 0.2500 x4

---

Record 7
DFT (PBE-GGA) results for a geometry-optimized YInS3 structure.

Calculated total energy (eV per atom): -5.583
Total moment (μB per formula unit): 0.00
Calculated volume (Å³ per cell): 726.35

Unit cell a=6.7979 b=6.7979 c=18.1507 alpha=90.00 beta=90.00 gamma=120.00
Space group R-3 (No. 148, hexagonal axes)
Asymmetric unit:
Y: 0.0000 0.0000 0.1482 x6
In: 0.0000 0.0000 0.3507 x6
S: 0.0094 0.7021 0.2519 x18

---

Record 8
DFT (PBE-GGA) results for a geometry-optimized Y3InS2 structure.

Calculated total energy (eV per atom): -6.327
Total moment (μB per formula unit): 0.00
Calculated volume (Å³ per cell): 583.63

Unit cell a=4.9329 b=12.4065 c=9.5365 alpha=90.00 beta=90.00 gamma=90.00
Space group Cmcm (No. 63)
Asymmetric unit:
Y: 0.0000 0.1066 0.2500 x4
Y: 0.0000 0.3676 0.0506 x8
In: 0.0000 0.2224 0.7500 x4
S: 0.0000 0.0000 0.0000 x4
S: 0.0000 0.4679 0.7500 x4

---

Record 9
DFT (PBE-GGA) results for a geometry-optimized Y3InS structure.

Total moment (μB per formula unit): 0.00
Relative energy among the computed polymorphs (eV/atom): 0.1375
Calculated volume (Å³ per cell): 138.13

Unit cell a=5.1693 b=5.1693 c=5.1693 alpha=90.00 beta=90.00 gamma=90.00
Space group Pm-3m (No. 221)
Asymmetric unit:
Y: 0.0000 0.0000 0.5000 x3
In: 0.5000 0.5000 0.5000 x1
S: 0.0000 0.0000 0.0000 x1

---

Record 10
DFT (PBE-GGA) results for a geometry-optimized YbIn2S4 structure.

Calculated total energy (eV per atom): -4.321
Total moment (μB per formula unit): 0.24
Calculated volume (Å³ per cell): 684.44

Unit cell a=6.6068 b=10.1342 c=10.2226 alpha=90.00 beta=90.00 gamma=90.00
Space group Cccm (No. 66)
Asymmetric unit:
Yb: 0.0000 0.0000 0.2500 x4
In: 0.0042 0.2846 0.0000 x8
S: 0.2076 0.0678 0.5000 x8
S: 0.2500 0.2500 0.1847 x8

---

Record 11
DFT (PBE-GGA) results for a geometry-optimized ZnIn2S structure.

Total moment (μB per formula unit): 0.00
Relative energy among the computed polymorphs (eV/atom): 0.0414
Calculated volume (Å³ per cell): 380.07

Unit cell a=7.2436 b=7.2436 c=7.2436 alpha=90.00 beta=90.00 gamma=90.00
Space group Fm-3m (No. 225)
Asymmetric unit:
Zn: 0.0000 0.0000 0.0000 x4
In: 0.2500 0.2500 0.2500 x8
S: 0.0000 0.0000 0.5000 x4

---

Record 12
DFT (PBE-GGA) results for a geometry-optimized ZnIn2S4 structure.

Calculated total energy (eV per atom): -3.890
Total moment (μB per formula unit): 0.00
Calculated volume (Å³ per cell): 335.78

Unit cell a=3.9214 b=3.9214 c=25.2146 alpha=90.00 beta=90.00 gamma=120.00
Space group P6_3mc (No. 186)
Asymmetric unit:
Zn: 0.0000 0.0000 0.0000 x2
In: 0.3333 0.6667 0.1857 x2
In: 0.3333 0.6667 0.8447 x2
S: 0.0000 0.0000 0.1428 x2
S: 0.0000 0.0000 0.3944 x2
S: 0.3333 0.6667 0.0199 x2
S: 0.3333 0.6667 0.2832 x2

---

Record 13
DFT (PBE-GGA) results for a geometry-optimized Zn2In2S5 structure.

Total moment (μB per formula unit): 0.00
Relative energy among the computed polymorphs (eV/atom): 0.0839
Calculated volume (Å³ per cell): 225.93

Unit cell a=3.9052 b=6.4102 c=9.4327 alpha=73.44 beta=87.45 gamma=87.06
Space group P-1 (No. 2)
Asymmetric unit:
Zn: 0.2209 0.1651 0.1950 x2
In: 0.2279 0.4113 0.7567 x2
S: 0.0000 0.5000 0.0000 x1
S: 0.2636 0.0159 0.8268 x2
S: 0.2779 0.3673 0.3702 x2

---

Record 14
DFT (PBE-GGA) results for a geometry-optimized ZnIn3S structure.

Total moment (μB per formula unit): 0.00
Relative energy among the computed polymorphs (eV/atom): 0.1524
Calculated volume (Å³ per cell): 162.45

Unit cell a=5.4565 b=5.4565 c=5.4565 alpha=90.00 beta=90.00 gamma=90.00
Space group Pm-3m (No. 221)
Asymmetric unit:
Zn: 0.0000 0.0000 0.0000 x1
In: 0.0000 0.5000 0.5000 x3
S: 0.5000 0.5000 0.5000 x1

---

Record 15
DFT (PBE-GGA) results for a geometry-optimized Zn2In2S5 structure.

Total moment (μB per formula unit): 0.00
Relative energy among the computed polymorphs (eV/atom): 0.0030
Calculated volume (Å³ per cell): 615.91

Unit cell a=3.9199 b=3.9199 c=46.2841 alpha=90.00 beta=90.00 gamma=120.00
Space group R3m (No. 160, hexagonal axes)
Asymmetric unit:
Zn: 0.0000 0.0000 0.0000 x3
Zn: 0.0000 0.0000 0.1701 x3
In: 0.0000 0.0000 0.5844 x3
In: 0.0000 0.0000 0.7634 x3
S: 0.0000 0.0000 0.0744 x3
S: 0.0000 0.0000 0.2188 x3
S: 0.0000 0.0000 0.6803 x3
S: 0.0000 0.0000 0.8179 x3
S: 0.0000 0.0000 0.9457 x3

---

Record 16
DFT (PBE-GGA) results for a geometry-optimized Zn2In2S5 structure.

Total moment (μB per formula unit): 0.00
Relative energy among the computed polymorphs (eV/atom): 0.0000
Calculated volume (Å³ per cell): 409.74

Unit cell a=3.9177 b=3.9177 c=30.8261 alpha=90.00 beta=90.00 gamma=120.00
Space group P6_3mc (No. 186)
Asymmetric unit:
Zn: 0.3333 0.6667 0.0000 x2
Zn: 0.3333 0.6667 0.2551 x2
In: 0.0000 0.0000 0.3784 x2
In: 0.3333 0.6667 0.6100 x2
S: 0.3333 0.6667 0.1437 x2
S: 0.3333 0.6667 0.3363 x2
S: 0.3333 0.6667 0.5283 x2
S: 0.3333 0.6667 0.7346 x2
S: 0.3333 0.6667 0.9269 x2

---

Record 17
DFT (PBE-GGA) results for a geometry-optimized ZnIn2S4 structure.

Calculated total energy (eV per atom): -3.887
Total moment (μB per formula unit): 0.00
Calculated volume (Å³ per cell): 503.36

Unit cell a=3.9250 b=3.9250 c=37.7292 alpha=90.00 beta=90.00 gamma=120.00
Space group R3m (No. 160, hexagonal axes)
Asymmetric unit:
Zn: 0.0000 0.0000 0.0000 x3
In: 0.0000 0.0000 0.5431 x3
In: 0.0000 0.0000 0.7702 x3
S: 0.0000 0.0000 0.0704 x3
S: 0.0000 0.0000 0.4779 x3
S: 0.0000 0.0000 0.6533 x3
S: 0.0000 0.0000 0.9051 x3

---

Record 18
DFT (PBE-GGA) results for a geometry-optimized Zn4In2S structure.

Calculated total energy (eV per atom): -1.851
Total moment (μB per formula unit): 0.00
Calculated volume (Å³ per cell): 326.34

Unit cell a=4.7350 b=4.7350 c=14.5557 alpha=90.00 beta=90.00 gamma=90.00
Space group I4/mmm (No. 139)
Asymmetric unit:
Zn: 0.0000 0.0000 0.1721 x4
Zn: 0.0000 0.5000 0.0000 x4
In: 0.0000 0.0000 0.3565 x4
S: 0.0000 0.0000 0.0000 x2

---

Record 19
DFT (PBE-GGA) results for a geometry-optimized ZnIn2S4 structure.

Calculated total energy (eV per atom): -3.935
Total moment (μB per formula unit): 0.00
Calculated volume (Å³ per cell): 1237.35

Unit cell a=10.7357 b=10.7357 c=10.7357 alpha=90.00 beta=90.00 gamma=90.00
Space group Fd-3m (No. 227, origin choice 2)
Asymmetric unit:
Zn: 0.1250 0.1250 0.1250 x8
In: 0.0000 0.0000 0.5000 x16
S: 0.0043 0.0043 0.7457 x32

---

Record 20
DFT (PBE-GGA) results for a geometry-optimized ZnIn3S structure.

Total moment (μB per formula unit): 0.00
Relative energy among the computed polymorphs (eV/atom): 0.0000
Calculated volume (Å³ per cell): 137.05

Unit cell a=5.1558 b=5.1558 c=5.1558 alpha=90.00 beta=90.00 gamma=90.00
Space group Pm-3m (No. 221)
Asymmetric unit:
Zn: 0.0000 0.0000 0.0000 x1
In: 0.0000 0.0000 0.5000 x3
S: 0.5000 0.5000 0.5000 x1